[1]
## ErAsN2O (GGA-PBE)

Data for a relaxed ErAsN2O crystal.

Unit cell a=3.3564 b=6.1057 c=5.7147 alpha=90.00 beta=90.00 gamma=90.00
With the nearest neighbours (Å) after each atom.
Sites, in units of the cell vectors:
As 0.5000 0.3369 0.2274  3 N 1.78-1.87
As 0.5000 0.6631 0.7274  3 N 1.78-1.87
Er 0.0000 0.8506 0.1862  4 N 2.29-2.39, 2 O 2.35
Er 0.0000 0.1494 0.6862  4 N 2.29-2.39, 2 O 2.35
N 0.5000 0.5916 0.0758  1 As 1.78
N 0.0000 0.2128 0.2892  2 As 1.87
N 0.5000 0.4084 0.5758  1 As 1.78
N 0.0000 0.7872 0.7892  2 As 1.87
O 0.5000 0.8915 0.4718  1 As 2.02
O 0.5000 0.1085 0.9718  1 As 2.02

---

[2]
## NaLaTc (GGA-PBE)

Data for a relaxed NaLaTc crystal.

Unit cell a=4.8008 b=4.8008 c=4.8008 alpha=60.00 beta=60.00 gamma=60.00
With the nearest neighbours (Å) after each atom.
Sites, in units of the cell vectors:
La 0.2500 0.2500 0.2500  4 Na 2.94
Na 0.0000 0.0000 0.0000  4 Tc 2.94, 4 La 2.94
Tc 0.7500 0.7500 0.7500  4 Na 2.94

---

[3]
## LiLaHfPt (GGA-PBE)

Data for a relaxed LiLaHfPt crystal.

Unit cell a=4.8420 b=4.8420 c=4.8420 alpha=60.00 beta=60.00 gamma=60.00
With the nearest neighbours (Å) after each atom.
Sites, in units of the cell vectors:
Hf 0.0000 0.0000 0.0000  4 Li 2.97, 4 La 2.97
La 0.2500 0.2500 0.2500  4 Pt 2.97, 4 Hf 2.97
Li 0.7500 0.7500 0.7500  4 Hf 2.97, 4 Pt 2.97
Pt 0.5000 0.5000 0.5000  4 La 2.97, 4 Li 2.97

---

Magnetic moment, record by record: 0.00; 1.39; 0.00 μB/cell
E, record by record: -7.108; -4.285; -5.785 eV per atom